[1]
# CuAgW3 meta-GGA SCAN single point on PBEsol structure
# - ΔE_f: 983 kJ/mol of formula units
# - Uncorrected energy: -49.089 eV/atom
data_CuAgW3
_chemical_formula_sum 'Cu1 Ag1 W3'
_space_group_name_H-M_alt 'P m -3 m'
_space_group_IT_number 221
_space_group_name_Hall '-P 4 2 3'
_cell_length_a 4.453
_cell_length_b 4.453
_cell_length_c 4.453
_cell_angle_alpha 90.00
_cell_angle_beta 90.00
_cell_angle_gamma 90.00
loop_
_atom_site_label
_atom_site_type_symbol
_atom_site_fract_x
_atom_site_fract_y
_atom_site_fract_z
Cu1 Cu 0.000 0.000 0.000
Ag1 Ag 0.500 0.500 0.500
W1 W 0.000 0.000 0.500

***

[2]
# Nd2Be2GeO7 meta-GGA SCAN single point on PBEsol structure
# - Formation energy without anion corrections: -3111 meV per atom
# - Uncorrected energy: -16.326 eV/atom
data_Nd2Be2GeO7
_chemical_formula_sum 'Nd4 Be4 Ge2 O14'
_space_group_name_H-M_alt 'P -4 21 m'
_space_group_IT_number 113
_cell_length_a 7.631
_cell_length_b 7.631
_cell_length_c 4.929
_cell_angle_alpha 90.00
_cell_angle_beta 90.00
_cell_angle_gamma 90.00
loop_
_space_group_symop_operation_xyz
'x,y,z'
'y,-x,-z'
'-x,-y,z'
'-y,x,-z'
'x+1/2,-y+1/2,-z'
'y+1/2,x+1/2,z'
'-x+1/2,y+1/2,-z'
'-y+1/2,-x+1/2,z'
loop_
_atom_site_label
_atom_site_type_symbol
_atom_site_fract_x
_atom_site_fract_y
_atom_site_fract_z
Nd1 Nd 0.160 0.340 0.495
Be1 Be 0.133 0.633 0.958
Ge1 Ge 0.000 0.000 0.000
O1 O 0.000 0.500 0.824
O2 O 0.077 0.826 0.795
O3 O 0.141 0.641 0.279

***

[3]
# Y4Ag3 meta-GGA SCAN single point on PBEsol structure
# - ΔE_f: -179 kJ/mol of formula units
# - Uncorrected energy: -29.619 eV/atom
data_Y4Ag3
_chemical_formula_sum 'Y8 Ag6'
_space_group_name_H-M_alt 'I 4/m m m'
_space_group_IT_number 139
_space_group_name_Hall '-I 4 2'
_cell_length_a 3.596
_cell_length_b 3.596
_cell_length_c 26.419
_cell_angle_alpha 90.00
_cell_angle_beta 90.00
_cell_angle_gamma 90.00
loop_
_atom_site_label
_atom_site_type_symbol
_atom_site_fract_x
_atom_site_fract_y
_atom_site_fract_z
Y1 Y 0.000 0.000 0.068
Y2 Y 0.000 0.000 0.339
Ag1 Ag 0.000 0.000 0.223
Ag2 Ag 0.000 0.000 0.500

***

[4]
# La2InNiSe meta-GGA SCAN single point on PBEsol structure
# - Formation energy without anion corrections: 518 meV per atom
# - Uncorrected energy: -30.651 eV/atom
data_La2InNiSe
_chemical_formula_sum 'La2 In1 Ni1 Se1'
_space_group_name_H-M_alt 'P 4/m m m'
_space_group_IT_number 123
_space_group_name_Hall '-P 4 2'
_cell_length_a 5.894
_cell_length_b 5.894
_cell_length_c 5.011
_cell_angle_alpha 90.00
_cell_angle_beta 90.00
_cell_angle_gamma 90.00
loop_
_atom_site_label
_atom_site_type_symbol
_atom_site_fract_x
_atom_site_fract_y
_atom_site_fract_z
La1 La 0.000 0.500 0.000
In1 In 0.000 0.000 0.000
Ni1 Ni 0.500 0.500 0.500
Se1 Se 0.000 0.000 0.500

***

[5]
# BeCoHg2 meta-GGA SCAN single point on PBEsol structure
# - ΔE_f: 178 kJ/mol of formula units
# - Uncorrected energy: -39.035 eV/atom
data_BeCoHg2
_chemical_formula_sum 'Be2 Co2 Hg4'
_space_group_name_H-M_alt 'I -4 m 2'
_space_group_IT_number 119
_space_group_name_Hall 'I -4 -2'
_cell_length_a 3.756
_cell_length_b 3.756
_cell_length_c 8.429
_cell_angle_alpha 90.00
_cell_angle_beta 90.00
_cell_angle_gamma 90.00
loop_
_atom_site_label
_atom_site_type_symbol
_atom_site_fract_x
_atom_site_fract_y
_atom_site_fract_z
Be1 Be 0.000 0.000 0.000
Co1 Co 0.000 0.500 0.250
Hg1 Hg 0.000 0.000 0.500
Hg2 Hg 0.000 0.500 0.750

***

[6]
# TlHg2Ru meta-GGA SCAN single point on PBEsol structure
# - ΔE_f: 168 kJ/mol of formula units
# - Uncorrected energy: -60.444 eV/atom
data_TlHg2Ru
_chemical_formula_sum 'Tl1 Hg2 Ru1'
_space_group_name_H-M_alt 'P 4/m m m'
_space_group_IT_number 123
_space_group_name_Hall '-P 4 2'
_cell_length_a 3.057
_cell_length_b 3.057
_cell_length_c 8.862
_cell_angle_alpha 90.00
_cell_angle_beta 90.00
_cell_angle_gamma 90.00
loop_
_atom_site_label
_atom_site_type_symbol
_atom_site_fract_x
_atom_site_fract_y
_atom_site_fract_z
Tl1 Tl 0.000 0.000 0.000
Hg1 Hg 0.500 0.500 0.297
Ru1 Ru 0.000 0.000 0.500

***

[7]
# CdSnP2O meta-GGA SCAN single point on PBEsol structure
# - Formation energy without anion corrections: 709 meV per atom
# - Uncorrected energy: -17.964 eV/atom
data_CdSnP2O
_chemical_formula_sum 'Cd1 Sn1 P2 O1'
_space_group_name_H-M_alt 'P 4/m m m'
_space_group_IT_number 123
_space_group_name_Hall '-P 4 2'
_cell_length_a 4.990
_cell_length_b 4.990
_cell_length_c 3.984
_cell_angle_alpha 90.00
_cell_angle_beta 90.00
_cell_angle_gamma 90.00
loop_
_atom_site_label
_atom_site_type_symbol
_atom_site_fract_x
_atom_site_fract_y
_atom_site_fract_z
Cd1 Cd 0.000 0.000 0.000
Sn1 Sn 0.500 0.500 0.500
P1 P 0.000 0.500 0.000
O1 O 0.000 0.000 0.500

***

[8]
# LiZr2Br meta-GGA SCAN single point on PBEsol structure
# - Formation energy without anion corrections: -233 meV per atom
# - Uncorrected energy: -21.045 eV/atom
data_LiZr2Br
_chemical_formula_sum 'Li2 Zr4 Br2'
_space_group_name_H-M_alt 'I m m m'
_space_group_IT_number 71
_space_group_name_Hall '-I 2 2'
_cell_length_a 3.277
_cell_length_b 3.453
_cell_length_c 14.868
_cell_angle_alpha 90.00
_cell_angle_beta 90.00
_cell_angle_gamma 90.00
loop_
_atom_site_label
_atom_site_type_symbol
_atom_site_fract_x
_atom_site_fract_y
_atom_site_fract_z
Li1 Li 0.000 0.000 0.000
Zr1 Zr 0.000 0.500 0.187
Br1 Br 0.000 0.000 0.500

***

[9]
# Rb2YTlCl6 meta-GGA SCAN single point on PBEsol structure
# - Formation energy without anion corrections: -2103 meV per atom
# - Uncorrected energy: -21.058 eV/atom
data_Rb2YTlCl6
_chemical_formula_sum 'Rb8 Y4 Tl4 Cl24'
_space_group_name_H-M_alt 'F m -3 m'
_space_group_IT_number 225
_space_group_name_Hall '-F 4 2 3'
_cell_length_a 11.169
_cell_length_b 11.169
_cell_length_c 11.169
_cell_angle_alpha 90.00
_cell_angle_beta 90.00
_cell_angle_gamma 90.00
loop_
_atom_site_label
_atom_site_type_symbol
_atom_site_fract_x
_atom_site_fract_y
_atom_site_fract_z
Rb1 Rb 0.250 0.250 0.250
Y1 Y 0.000 0.000 0.000
Tl1 Tl 0.000 0.000 0.500
Cl1 Cl 0.000 0.000 0.233

***

[10]
# AlReSb2 meta-GGA SCAN single point on PBEsol structure
# - Formation energy without anion corrections: 447 meV per atom
# - Uncorrected energy: -37.896 eV/atom
data_AlReSb2
_chemical_formula_sum 'Al2 Re2 Sb4'
_space_group_name_H-M_alt 'I m m 2'
_space_group_IT_number 44
_cell_length_a 3.135
_cell_length_b 4.377
_cell_length_c 12.129
_cell_angle_alpha 90.00
_cell_angle_beta 90.00
_cell_angle_gamma 90.00
loop_
_space_group_symop_operation_xyz
'x,y,z'
'-x,-y,z'
'-x,y,z'
'x,-y,z'
'x+1/2,y+1/2,z+1/2'
'-x+1/2,-y+1/2,z+1/2'
'-x+1/2,y+1/2,z+1/2'
'x+1/2,-y+1/2,z+1/2'
loop_
_atom_site_label
_atom_site_type_symbol
_atom_site_fract_x
_atom_site_fract_y
_atom_site_fract_z
Al1 Al 0.000 0.000 0.000
Re1 Re 0.000 0.500 0.690
Sb1 Sb 0.000 0.000 0.376
Sb2 Sb 0.000 0.500 0.157

***

[11]
# Ba2AlFe meta-GGA SCAN single point on PBEsol structure
# - ΔE_f: 76 kJ/mol of formula units
# - Uncorrected energy: -26.049 eV/atom
data_Ba2AlFe
_chemical_formula_sum 'Ba4 Al2 Fe2'
_space_group_name_H-M_alt 'A m m 2'
_space_group_IT_number 38
_cell_length_a 4.522
_cell_length_b 5.025
_cell_length_c 11.551
_cell_angle_alpha 90.00
_cell_angle_beta 90.00
_cell_angle_gamma 90.00
loop_
_space_group_symop_operation_xyz
'x,y,z'
'-x,-y,z'
'-x,y,z'
'x,-y,z'
'x,y+1/2,z+1/2'
'-x,-y+1/2,z+1/2'
'-x,y+1/2,z+1/2'
'x,-y+1/2,z+1/2'
loop_
_atom_site_label
_atom_site_type_symbol
_atom_site_fract_x
_atom_site_fract_y
_atom_site_fract_z
Ba1 Ba 0.000 0.000 0.000
Ba2 Ba 0.500 0.000 0.293
Al1 Al 0.500 0.000 0.602
Fe1 Fe 0.000 0.000 0.682

***

[12]
# Fe3Ni20B6 meta-GGA SCAN single point on PBEsol structure
# - ΔE_f: -699 kJ/mol of formula units
# - Uncorrected energy: -14.816 eV/atom
data_Fe3Ni20B6
_chemical_formula_sum 'Fe12 Ni80 B24'
_space_group_name_H-M_alt 'F m -3 m'
_space_group_IT_number 225
_space_group_name_Hall '-F 4 2 3'
_cell_length_a 10.326
_cell_length_b 10.326
_cell_length_c 10.326
_cell_angle_alpha 90.00
_cell_angle_beta 90.00
_cell_angle_gamma 90.00
loop_
_atom_site_label
_atom_site_type_symbol
_atom_site_fract_x
_atom_site_fract_y
_atom_site_fract_z
Fe1 Fe 0.000 0.000 0.000
Fe2 Fe 0.250 0.250 0.250
Ni1 Ni 0.000 0.169 0.169
Ni2 Ni 0.118 0.118 0.382
B1 B 0.000 0.000 0.272

***

[13]
# MgTa2Si meta-GGA SCAN single point on PBEsol structure
# - Formation energy without anion corrections: 30 meV per atom
# - Uncorrected energy: -37.009 eV/atom
data_MgTa2Si
_chemical_formula_sum 'Mg1 Ta2 Si1'
_space_group_name_H-M_alt 'P m m m'
_space_group_IT_number 47
_cell_length_a 3.836
_cell_length_b 4.081
_cell_length_c 4.188
_cell_angle_alpha 90.00
_cell_angle_beta 90.00
_cell_angle_gamma 90.00
loop_
_space_group_symop_operation_xyz
'x,y,z'
'-x,-y,-z'
'-x,-y,z'
'x,y,-z'
'x,-y,-z'
'-x,y,z'
'-x,y,-z'
'x,-y,z'
loop_
_atom_site_label
_atom_site_type_symbol
_atom_site_fract_x
_atom_site_fract_y
_atom_site_fract_z
Mg1 Mg 0.000 0.000 0.000
Ta1 Ta 0.000 0.500 0.500
Ta2 Ta 0.500 0.000 0.500
Si1 Si 0.500 0.500 0.000